Compound: PmAsF
Source: Alexandria via LeMat-Bulk
Functional: GGA-PBE
Structure: relaxed

Computed properties:
As for the energy above the most stable polymorph in this dataset: 0 meV per atom. The space group is No. 2. For the energy relative to the elements, uncorrected, the calculation gives -2364 meV/atom. For the density of states at the Fermi level, the calculation gives 0.01 states/eV/atom.

Cell lengths 4.041, 5.475, 6.871 Å; angles 109.92, 90.36, 110.66 degrees
Atoms (fractional coordinates):
Pm 0.186 0.373 0.231
Pm 0.814 0.627 0.769
As 0.482 0.901 0.138
As 0.518 0.099 0.862
F 0.209 0.410 0.589
F 0.791 0.590 0.411